No. 1
A relaxed structure of Y2ZrHg. Source: Alexandria via LeMat-Bulk, functional PBE-GGA.

Properties
As for the space-group type: R3m (160). The calculation puts the energy of formation at -0.11 eV per atom. The total energy is -5.55 eV/atom.

a = 3.537 Å, b = 3.537 Å, c = 30.541 Å
α = 90.00°, β = 90.00°, γ = 120.00°
Element x y z (fractional)
Y 0.000 0.000 0.000
Y 0.000 0.000 0.171
Y 0.333 0.667 0.667
Y 0.333 0.667 0.838
Y 0.667 0.333 0.333
Y 0.667 0.333 0.505
Zr 0.000 0.000 0.419
Zr 0.333 0.667 0.085
Zr 0.667 0.333 0.752
Hg 0.000 0.000 0.585
Hg 0.333 0.667 0.252
Hg 0.667 0.333 0.919

No. 2
A relaxed structure of OsRh3O. Source: Alexandria via LeMat-Bulk, functional PBE-GGA.

Properties
As for the space-group type: Pm-3m (221). The value obtained for the excess energy over the best structure of this formula in the dataset is 0.000 eV/atom. The value obtained for the formation energy without anion corrections is 594 meV/atom. The total energy is -7.05 eV/atom.

a = 4.077 Å, b = 4.077 Å, c = 4.077 Å
α = 90.00°, β = 90.00°, γ = 90.00°
Element x y z (fractional)
Os 0.000 0.000 0.000
Rh 0.000 0.500 0.500
Rh 0.500 0.000 0.500
Rh 0.500 0.500 0.000
O 0.500 0.500 0.500

No. 3
A relaxed structure of YSn5Te7. Source: Alexandria via LeMat-Bulk, functional PBE-GGA.

Properties
As for the space-group type: P2_1 (4). The value obtained for the formation energy without anion corrections is -462 meV/atom. The total energy is -4.19 eV/atom.

a = 4.387 Å, b = 26.064 Å, c = 7.833 Å
α = 90.00°, β = 106.25°, γ = 90.00°
Element x y z (fractional)
Y 0.207 0.000 0.415
Y 0.793 0.500 0.585
Sn 0.013 0.760 0.026
Sn 0.256 0.337 0.514
Sn 0.286 0.687 0.574
Sn 0.444 0.112 0.886
Sn 0.476 0.912 0.950
Sn 0.524 0.412 0.050
Sn 0.556 0.612 0.114
Sn 0.714 0.187 0.426
Sn 0.744 0.837 0.486
Sn 0.987 0.260 0.974
Te 0.072 0.156 0.145
Te 0.117 0.886 0.234
Te 0.174 0.443 0.348
Te 0.206 0.579 0.411
Te 0.349 0.224 0.698
Te 0.378 0.800 0.755
Te 0.435 0.516 0.871
Te 0.565 0.016 0.129
Te 0.622 0.300 0.245
Te 0.651 0.724 0.302
Te 0.794 0.079 0.589
Te 0.826 0.943 0.652
Te 0.883 0.386 0.766
Te 0.928 0.656 0.855

No. 4
A relaxed structure of PmDyPa. Source: Alexandria via LeMat-Bulk, functional PBE-GGA.

Properties
As for the space-group type: Cmcm (63). The value obtained for the excess energy over the best structure of this formula in the dataset is 0.021 eV/atom. The calculation puts the energy of formation at 0.17 eV per atom. The total energy is -6.11 eV/atom.

a = 4.778 Å, b = 15.623 Å, c = 4.788 Å
α = 90.00°, β = 90.00°, γ = 90.00°
Element x y z (fractional)
Pm 0.000 0.094 0.250
Pm 0.000 0.906 0.750
Pm 0.500 0.406 0.750
Pm 0.500 0.594 0.250
Dy 0.000 0.406 0.250
Dy 0.000 0.594 0.750
Dy 0.500 0.094 0.750
Dy 0.500 0.906 0.250
Pa 0.000 0.250 0.750
Pa 0.000 0.750 0.250
Pa 0.500 0.250 0.250
Pa 0.500 0.750 0.750

No. 5
A relaxed structure of NaIr. Source: Alexandria via LeMat-Bulk, functional PBE-GGA.

Properties
As for the space-group type: P4/mmm (123). The calculation puts the energy of formation at 0.28 eV per atom. The total energy is -4.81 eV/atom.

a = 10.709 Å, b = 10.709 Å, c = 2.768 Å
α = 90.00°, β = 90.00°, γ = 90.00°
Element x y z (fractional)
Na 0.000 0.282 0.000
Na 0.000 0.718 0.000
Na 0.264 0.264 0.500
Na 0.264 0.736 0.500
Na 0.282 0.000 0.000
Na 0.718 0.000 0.000
Na 0.736 0.264 0.500
Na 0.736 0.736 0.500
Ir 0.125 0.500 0.500
Ir 0.336 0.500 0.000
Ir 0.500 0.125 0.500
Ir 0.500 0.336 0.000
Ir 0.500 0.664 0.000
Ir 0.500 0.875 0.500
Ir 0.664 0.500 0.000
Ir 0.875 0.500 0.500

No. 6
A relaxed structure of BeSbAs2. Source: Alexandria via LeMat-Bulk, functional PBE-GGA.

Properties
As for the space-group type: Pm (6). The value obtained for the excess energy over the best structure of this formula in the dataset is 0.000 eV/atom. The value obtained for the formation energy without anion corrections is 28 meV/atom. The total energy is -4.26 eV/atom.

a = 4.002 Å, b = 4.012 Å, c = 5.830 Å
α = 90.00°, β = 95.76°, γ = 90.00°
Element x y z (fractional)
Be 0.000 0.000 0.000
Sb 0.580 0.500 0.506
As 0.058 0.500 0.181
As 0.476 0.000 0.808

No. 7
A relaxed structure of MgMnIr. Source: Alexandria via LeMat-Bulk, functional PBE-GGA.

Properties
As for the space-group type: Pnma (62). The calculation puts the energy of formation at -0.09 eV per atom. The total energy is -6.63 eV/atom.

a = 6.566 Å, b = 4.098 Å, c = 6.969 Å
α = 90.00°, β = 90.00°, γ = 90.00°
Element x y z (fractional)
Mg 0.001 0.250 0.181
Mg 0.499 0.750 0.681
Mg 0.501 0.250 0.319
Mg 0.999 0.750 0.819
Mn 0.169 0.250 0.587
Mn 0.331 0.750 0.087
Mn 0.669 0.250 0.913
Mn 0.831 0.750 0.413
Ir 0.190 0.750 0.404
Ir 0.310 0.250 0.904
Ir 0.690 0.750 0.096
Ir 0.810 0.250 0.596

No. 8
A relaxed structure of Co2NCl. Source: Alexandria via LeMat-Bulk, functional PBE-GGA.

Properties
As for the space-group type: I-42d (122). The value obtained for the excess energy over the best structure of this formula in the dataset is 0.000 eV/atom. The value obtained for the formation energy without anion corrections is 82 meV/atom. The total energy is -6.01 eV/atom.

a = 4.786 Å, b = 4.786 Å, c = 9.246 Å
α = 90.00°, β = 90.00°, γ = 90.00°
Element x y z (fractional)
Co 0.152 0.250 0.125
Co 0.250 0.652 0.375
Co 0.250 0.848 0.875
Co 0.348 0.250 0.625
Co 0.652 0.750 0.625
Co 0.750 0.152 0.875
Co 0.750 0.348 0.375
Co 0.848 0.750 0.125
N 0.000 0.000 0.000
N 0.000 0.500 0.250
N 0.500 0.000 0.750
N 0.500 0.500 0.500
Cl 0.000 0.000 0.500
Cl 0.000 0.500 0.750
Cl 0.500 0.000 0.250
Cl 0.500 0.500 0.000

No. 9
A relaxed structure of Pm4PSeS2. Source: Alexandria via LeMat-Bulk, functional PBE-GGA.

Properties
As for the space-group type: P2/m (10). The value obtained for the formation energy without anion corrections is -1910 meV/atom. The total energy is -6.43 eV/atom.

a = 7.065 Å, b = 4.086 Å, c = 7.168 Å
α = 90.00°, β = 109.21°, γ = 90.00°
Element x y z (fractional)
Pm 0.242 0.000 0.233
Pm 0.252 0.500 0.763
Pm 0.748 0.500 0.237
Pm 0.758 0.000 0.767
P 0.500 0.000 0.000
Se 0.500 0.500 0.500
S 0.000 0.000 0.500
S 0.000 0.500 0.000

No. 10
A relaxed structure of Re5Se. Source: Alexandria via LeMat-Bulk, functional PBE-GGA.

Properties
As for the space-group type: F-43m (216). The value obtained for the excess energy over the best structure of this formula in the dataset is 0.658 eV/atom. The value obtained for the formation energy without anion corrections is 908 meV/atom. The total energy is -10.05 eV/atom.

a = 5.185 Å, b = 5.185 Å, c = 5.185 Å
α = 60.00°, β = 60.00°, γ = 60.00°
Element x y z (fractional)
Re 0.000 0.000 0.000
Re 0.126 0.625 0.625
Re 0.625 0.126 0.625
Re 0.625 0.625 0.126
Re 0.625 0.625 0.625
Se 0.250 0.250 0.250

No. 11
A relaxed structure of Ac12PrNi7. Source: Alexandria via LeMat-Bulk, functional PBE-GGA.

Properties
As for the space-group type: R-3 (148). The calculation puts the energy of formation at -0.14 eV per atom. The total energy is -4.87 eV/atom.

a = 9.423 Å, b = 9.423 Å, c = 9.423 Å
α = 107.40°, β = 107.40°, γ = 107.40°
Element x y z (fractional)
Ac 0.047 0.345 0.122
Ac 0.122 0.047 0.345
Ac 0.187 0.722 0.572
Ac 0.278 0.428 0.813
Ac 0.345 0.122 0.047
Ac 0.428 0.813 0.278
Ac 0.572 0.187 0.722
Ac 0.655 0.878 0.953
Ac 0.722 0.572 0.187
Ac 0.813 0.278 0.428
Ac 0.878 0.953 0.655
Ac 0.953 0.655 0.878
Pr 0.500 0.500 0.500
Ni 0.000 0.000 0.000
Ni 0.153 0.384 0.466
Ni 0.384 0.466 0.153
Ni 0.466 0.153 0.384
Ni 0.534 0.847 0.616
Ni 0.616 0.534 0.847
Ni 0.847 0.616 0.534

No. 12
A relaxed structure of K2CdHg6Pt. Source: Alexandria via LeMat-Bulk, functional PBE-GGA.

Properties
As for the space-group type: P-3m1 (164). The calculation puts the energy of formation at -0.16 eV per atom. The total energy is -1.26 eV/atom.

a = 7.390 Å, b = 7.390 Å, c = 6.085 Å
α = 90.00°, β = 90.00°, γ = 120.00°
Element x y z (fractional)
K 0.333 0.667 0.288
K 0.667 0.333 0.712
Cd 0.000 0.000 0.500
Hg 0.194 0.389 0.784
Hg 0.194 0.806 0.784
Hg 0.389 0.194 0.216
Hg 0.611 0.806 0.784
Hg 0.806 0.194 0.216
Hg 0.806 0.611 0.216
Pt 0.000 0.000 0.000